This record from Alexandria via LeMat-Bulk describes a relaxed DyY4Ho3 crystal. The functional is PBE.

Summary:
The value obtained for the total energy is -5.522 eV/atom. Its space group is Pmn2_1 (31). Its energy of formation from the pure elements is 0.014 eV/f.u. The energy relative to the lowest polymorph listed for this composition comes out at 0.0 meV/atom.

Lattice parameters (Å, degrees): 6.285 7.272 11.238 90.00 90.00 90.00
Sites, in units of the cell vectors:
Dy: 0.149 0.377 0.000
Dy: 0.649 0.623 0.500
Y: 0.146 0.874 0.000
Y: 0.646 0.127 0.000
Y: 0.983 0.126 0.250
Y: 0.483 0.874 0.250
Y: 0.146 0.873 0.500
Y: 0.646 0.126 0.500
Y: 0.483 0.874 0.750
Y: 0.983 0.126 0.750
Ho: 0.649 0.623 0.000
Ho: 0.980 0.624 0.250
Ho: 0.480 0.376 0.250
Ho: 0.149 0.377 0.500
Ho: 0.480 0.376 0.750
Ho: 0.980 0.624 0.750



This record from Alexandria via LeMat-Bulk describes a relaxed LaPm6Pb crystal. The functional is PBE.

Summary:
The value obtained for the total energy is -4.776 eV/atom. Its space group is P4/mmm (123). Its energy of formation from the pure elements is -1.071 eV/f.u.

Lattice parameters (Å, degrees): 5.009 5.009 10.490 90.00 90.00 90.00
Sites, in units of the cell vectors:
La: 0.000 0.000 0.500
Pm: 0.500 0.500 0.000
Pm: 0.500 0.500 0.500
Pm: 0.500 0.000 0.241
Pm: 0.500 0.000 0.759
Pm: 0.000 0.500 0.241
Pm: 0.000 0.500 0.759
Pb: 0.000 0.000 0.000



This record from Alexandria via LeMat-Bulk describes a relaxed Na2CaNpF8 crystal. The functional is PBE.

Summary:
The value obtained for the total energy is -6.082 eV/atom. As for the formation energy from raw total energies: -3369 meV/atom. Its space group is Pmmm (47).

Lattice parameters (Å, degrees): 3.910 5.607 7.830 90.00 90.00 89.99
Sites, in units of the cell vectors:
Na: 0.500 0.500 0.724
Na: 0.500 0.500 0.276
Ca: 0.000 0.000 0.500
Np: 0.000 0.000 0.000
F: 0.000 0.765 0.229
F: 0.500 0.774 0.000
F: 0.000 0.235 0.229
F: 0.000 0.235 0.771
F: 0.500 0.226 0.000
F: 0.000 0.765 0.771
F: 0.500 0.764 0.500
F: 0.500 0.236 0.500